! Pm2PrAg, relaxed, DFT PBE; values from VASP
! calculated total energy: -17.6 eV/cell
! SG: P4/mmm, No. 123
! offset from the most stable computed form: 0.0000 eV per atom
! magnetization: 0.0 μB per formula unit
! calculated formation energy: -0.113 eV per atom
&SYSTEM
  ibrav = 0, nat = 4, ntyp = 3
/
ATOMIC_SPECIES
Pm 145.00 Pm.upf
Pr 140.91 Pr.upf
Ag 107.87 Ag.upf
CELL_PARAMETERS angstrom
3.7286 0.0000 0.0000
0.0000 3.7286 0.0000
0.0000 0.0000 8.8349
ATOMIC_POSITIONS angstrom
Pm 0.0000 0.0000 1.8587
Pm 0.0000 0.0000 6.9762
Pr 1.8643 1.8643 4.4175
Ag 1.8643 1.8643 0.0000